[1]
Density functional theory data (PBE) for a relaxed structure of RbTlOsI2.

Calculated values
* DFT total energy: -2.43 eV per atom
* formation energy (no corrections): 5.5 eV per formula unit

Cell lengths 6.8160, 6.8160, 6.1522 Å; angles 90.00, 90.00, 90.00 degrees
Last column: nearest neighbours and their distance in Å.
Element x y z (fractional)
1 Rb 0.0000 0.0000 0.0000  2 Os 3.08, 4 I 3.41
2 Tl 0.5000 0.5000 0.5000  8 I 4.59, 4 Os 4.82
3 Os 0.0000 0.0000 0.5000  2 Rb 3.08
4 I 0.0000 0.5000 0.0000  2 Rb 3.41
5 I 0.5000 0.0000 0.0000  2 Rb 3.41

[2]
Density functional theory data (PBE) for a relaxed structure of RbMn2SbS.

Calculated values
* DFT total energy: -3.36 eV per atom
* formation energy (no corrections): 10.8 eV per formula unit

Cell lengths 5.7938, 5.7938, 6.2670 Å; angles 90.00, 90.00, 90.00 degrees
Last column: nearest neighbours and their distance in Å.
Element x y z (fractional)
1 Rb 0.0000 0.0000 0.0000  4 Mn 2.90, 2 Sb 3.13
2 Mn 0.0000 0.5000 0.0000  2 Rb 2.90
3 Mn 0.5000 0.0000 0.0000  2 Rb 2.90
4 Sb 0.0000 0.0000 0.5000  2 Rb 3.13
5 S 0.5000 0.5000 0.5000  4 Sb 4.10, 8 Mn 4.27

- Which value of formation energy (no corrections) does entry 1 give?
  5.5 eV per formula unit

- Which value of DFT total energy does entry 1 give?
  -2.43 eV per atom

- DFT total energy of number 2 (RbMn2SbS)?
  -3.36 eV per atom